First-principles (PBE) data for a geometry-optimized Tb4Nd3Sn4 structure, as listed in Alexandria.

Results
Total DFT energy (no corrections) ... -0.178 hartree per atom
Fermi-level density of states ... 1.2059 states/eV per atom
Total magnetic moment ... 0.00 μB/cell
Mass density ... 7.55 Mg/m³
Space-group type ... Immm

a b c (Å): 5.0247 3.9753 17.2895
angles (deg): 96.60 98.36 90.00
Atoms (fractional coordinates):
Tb (0.2618, 0.2618, 0.5236)
Tb (0.0944, 0.5944, 0.1887)
Tb (0.9056, 0.4056, 0.8113)
Tb (0.7382, 0.7382, 0.4764)
Nd (0.3525, 0.8525, 0.7050)
Nd (0.6475, 0.1475, 0.2950)
Nd (0.0000, 0.0000, 0.0000)
Sn (0.8157, 0.3157, 0.6314)
Sn (0.4550, 0.4550, 0.9100)
Sn (0.5450, 0.5450, 0.0900)
Sn (0.1843, 0.6843, 0.3686)